1.
Cr2FeNi: single point on PBEsol structure, meta-GGA SCAN.

Computed properties:
offset from the most stable computed form: 0.125 eV/atom
space group: Pm (6)
energy: -70.35 eV per cell

Lattice parameters (Å, degrees): 2.439 3.994 4.343 90.00 90.07 90.00
Site moments in Bohr magnetons follow the coordinates.
Fractional coordinates of all 4 atoms:
Cr (0.876, 0.000, 0.957)  0.18
Cr (0.873, 0.500, 0.293)  -1.14
Fe (0.376, 0.000, 0.457)  1.84
Ni (0.375, 0.500, 0.793)  -0.08


2.
CrFe2Ni: single point on PBEsol structure, meta-GGA SCAN.

Computed properties:
space group: R-3m (166)
energy: -70.08 eV per cell

Lattice parameters (Å, degrees): 2.451 2.451 8.178 81.38 81.38 60.00
Site moments in Bohr magnetons follow the coordinates.
Fractional coordinates of all 4 atoms:
Cr (0.000, 0.000, 0.000)  -1.25
Fe (0.251, 0.251, 0.248)  2.31
Fe (0.749, 0.749, 0.752)  2.31
Ni (0.500, 0.500, 0.500)  0.77


3.
Cr2FeNi: single point on PBEsol structure, meta-GGA SCAN.

Computed properties:
offset from the most stable computed form: 0.000 eV/atom
space group: Cmm2 (35)
energy: -70.85 eV per cell

Lattice parameters (Å, degrees): 2.400 2.400 7.753 90.00 90.00 104.88
Site moments in Bohr magnetons follow the coordinates.
Fractional coordinates of all 4 atoms:
Ni (0.500, 0.500, 0.250)  0.39
Fe (0.000, 0.000, 0.498)  2.54
Cr (0.000, 0.000, 0.004)  -0.01
Cr (0.500, 0.500, 0.748)  -0.29


4.
CrFe2Ni: single point on PBEsol structure, meta-GGA SCAN.

Computed properties:
space group: Cmmm (65)
energy: -70.69 eV per cell

Lattice parameters (Å, degrees): 2.401 2.401 7.691 90.00 90.00 104.67
Site moments in Bohr magnetons follow the coordinates.
Fractional coordinates of all 4 atoms:
Ni (0.500, 0.500, 0.500)  0.71
Fe (0.000, 0.000, 0.253)  2.60
Fe (0.000, 0.000, 0.747)  2.60
Cr (0.500, 0.500, 0.000)  -0.59


5.
Cr2FeNi: single point on PBEsol structure, meta-GGA SCAN.

Computed properties:
offset from the most stable computed form: 0.105 eV/atom
space group: Pmmm (47)
energy: -70.43 eV per cell

Lattice parameters (Å, degrees): 2.444 3.531 4.899 90.00 90.03 90.00
Site moments in Bohr magnetons follow the coordinates.
Fractional coordinates of all 4 atoms:
Cr (0.000, 0.000, 0.761)  -0.55
Cr (0.000, 0.000, 0.239)  -0.55
Fe (0.500, 0.500, 0.000)  1.45
Ni (0.500, 0.500, 0.500)  -0.30


6.
CrFe2Ni: single point on PBEsol structure, meta-GGA SCAN.

Computed properties:
space group: C2/m (12)
energy: -70.35 eV per cell

Lattice parameters (Å, degrees): 2.422 4.251 4.310 98.51 90.00 106.55
Site moments in Bohr magnetons follow the coordinates.
Fractional coordinates of all 4 atoms:
Cr (0.500, 0.000, 0.000)  -1.50
Fe (0.748, 0.496, 0.747)  2.47
Fe (0.252, 0.504, 0.253)  2.47
Ni (0.000, 0.000, 0.500)  0.47


| no. | size of the total moment (μB per formula unit) | formation enthalpy at 0 K (eV/f.u.) |
| --- | --- | --- |
| 1 | 0.78 | 0.7 |
| 2 | 3.94 | 0.7 |
| 3 | 2.51 | 0.2 |
| 4 | 5.12 | 0.1 |
| 5 | 0.04 | 0.6 |
| 6 | 3.76 | 0.5 |